Record 1
The following is a PBE-GGA calculation of crystalline ZnIrWSe2 at its relaxed geometry, from Alexandria.

The structure in POSCAR format:
```
ZnIrWSe2
1.0
4.592 0.000 0.000
0.000 4.592 0.000
0.000 0.000 4.803
Zn Ir W Se
1 1 1 2
Cartesian
0.000 0.000 0.000
2.296 2.296 2.402
0.000 0.000 2.402
0.000 2.296 0.000
2.296 0.000 0.000
```

Computed properties:
formation energy from raw total energies = 8.94 eV per formula unit
total magnetic moment = 1.4 μB/f.u.


Record 2
The following is a PBE-GGA calculation of crystalline TaHgSN2 at its relaxed geometry, from Alexandria.

The structure in POSCAR format:
```
TaHgSN2
1.0
3.995 0.000 0.000
0.000 3.995 0.000
0.000 0.000 5.326
Ta Hg S N
1 1 1 2
Cartesian
0.000 0.000 0.000
1.997 1.997 2.663
0.000 0.000 2.663
0.000 1.997 0.000
1.997 0.000 0.000
```

Computed properties:
formation energy from raw total energies = 0.87 eV per formula unit
E above lowest polymorph = 0 meV/atom
total magnetic moment = 0.7 μB/f.u.


Record 3
The following is a PBE-GGA calculation of crystalline LiMg2Cu at its relaxed geometry, from Alexandria.

The structure in POSCAR format:
```
LiMg2Cu
1.0
3.975 0.000 0.000
0.000 3.975 0.000
0.000 0.000 8.745
Li Mg Cu
2 4 2
Cartesian
0.000 0.000 0.000
1.988 1.988 4.372
0.000 0.000 4.372
0.000 1.988 6.558
1.988 0.000 2.186
1.988 1.988 0.000
0.000 1.988 2.186
1.988 0.000 6.558
```

Computed properties:
ΔE_f = -0.042 eV/atom
total magnetic moment = 0.0 μB/f.u.


Record 4
The following is a PBE-GGA calculation of crystalline Sc2Cu2Ge3 at its relaxed geometry, from Alexandria.

The structure in POSCAR format:
```
Sc2Cu2Ge3
1.0
2.033 -8.759 0.000
2.033 8.759 0.000
0.000 0.000 6.615
Sc Cu Ge
4 4 6
Cartesian
2.033 7.880 4.961
2.033 6.048 1.654
2.033 -6.048 4.961
2.033 -7.880 1.654
2.033 3.439 0.367
2.033 3.439 2.940
2.033 -3.439 3.675
2.033 -3.439 6.247
2.033 4.888 4.961
2.033 1.166 3.694
2.033 1.166 6.228
2.033 -1.166 0.386
2.033 -1.166 2.921
2.033 -4.888 1.654
```

Computed properties:
ΔE_f = -0.525 eV/atom
total magnetic moment = 0.0 μB/f.u.


Record 5
The following is a PBE-GGA calculation of crystalline BaGa2Ge2 at its relaxed geometry, from Alexandria.

The structure in POSCAR format:
```
BaGa2Ge2
1.0
4.288 0.000 0.000
-2.144 3.714 0.000
0.000 0.000 25.305
Ba Ga Ge
3 6 6
Cartesian
0.000 0.000 0.000
0.000 2.476 16.870
2.144 1.238 8.435
0.000 0.000 11.335
0.000 0.000 13.970
0.000 2.476 2.900
0.000 2.476 5.535
2.144 1.238 19.770
2.144 1.238 22.405
0.000 0.000 6.111
0.000 0.000 19.194
0.000 2.476 10.759
0.000 2.476 22.981
2.144 1.238 2.324
2.144 1.238 14.546
```

Computed properties:
ΔE_f = -0.216 eV/atom
total magnetic moment = 0.0 μB/f.u.


Record 6
The following is a PBE-GGA calculation of crystalline TbInCoRh at its relaxed geometry, from Alexandria.

The structure in POSCAR format:
```
TbInCoRh
1.0
6.565 0.000 0.000
0.000 6.565 0.000
0.000 0.000 6.565
Tb In Co Rh
4 4 4 4
Cartesian
0.000 0.000 0.000
0.000 3.283 3.283
3.283 0.000 3.283
3.283 3.283 0.000
0.000 0.000 3.283
0.000 3.283 0.000
3.283 0.000 0.000
3.283 3.283 3.283
1.641 1.641 1.641
1.641 4.924 4.924
4.924 1.641 4.924
4.924 4.924 1.641
1.641 1.641 4.924
1.641 4.924 1.641
4.924 1.641 1.641
4.924 4.924 4.924
```

Computed properties:
ΔE_f = -0.400 eV/atom
total magnetic moment = 0.0 μB/f.u.


Record 7
The following is a PBE-GGA calculation of crystalline Sr2Tl2Ag at its relaxed geometry, from Alexandria.

The structure in POSCAR format:
```
Sr2Tl2Ag
1.0
6.551 0.000 0.000
0.000 6.551 0.000
0.000 0.000 8.583
Sr Tl Ag
4 4 2
Cartesian
0.000 3.276 2.146
0.000 3.276 6.437
3.276 0.000 2.146
3.276 0.000 6.437
0.000 0.000 1.419
0.000 0.000 7.164
3.276 3.276 2.872
3.276 3.276 5.711
0.000 0.000 4.291
3.276 3.276 0.000
```

Computed properties:
ΔE_f = -0.052 eV/atom
E above lowest polymorph = 278 meV/atom
total magnetic moment = 0.0 μB/f.u.


Record 8
The following is a PBE-GGA calculation of crystalline LiCaTa at its relaxed geometry, from Alexandria.

The structure in POSCAR format:
```
LiCaTa
1.0
3.064 0.000 0.000
0.000 3.064 0.000
0.000 0.000 14.169
Li Ca Ta
2 2 2
Cartesian
0.000 0.000 0.000
1.532 1.532 7.084
0.000 0.000 9.788
1.532 1.532 2.704
0.000 0.000 5.077
1.532 1.532 12.161
```

Computed properties:
ΔE_f = 0.618 eV/atom
E above lowest polymorph = 375 meV/atom
total magnetic moment = 0.0 μB/f.u.


Q: total magnetic moment of number 6 (TbInCoRh)?
A: 0.0 μB/f.u.